1.
Cs4Sn3GeBr12 after structural relaxation. Source: the Alexandria database, functional PBE-GGA.

a b c (Å): 11.6392 11.6392 11.6392
angles (deg): 90.00 90.00 90.00
Closest atoms and distances in Å follow each position.
Space group Im-3m (No. 229)
Symmetry-distinct sites (fractional):
1 Cs 0.2500 0.2500 0.2500 [8 per cell]  12 Br 4.12
2 Sn 0.0000 0.0000 0.5000 [6 per cell]  6 Br 2.91-2.99
3 Ge 0.0000 0.0000 0.0000 [2 per cell]  6 Br 2.83
4 Br 0.0000 0.0000 0.2434 [12 per cell]  1 Ge 2.83, 1 Sn 2.99
5 Br 0.0000 0.2500 0.5000 [12 per cell]  2 Sn 2.91

The total magnetization is 0.00 μB/f.u. As for the raw formation energy: -1.1889 eV per atom. For the calculated volume, the calculation gives 1577 Å³/cell.


2.
CaAc6S8 after structural relaxation. Source: the Alexandria database, functional PBE-GGA.

a b c (Å): 12.1058 12.1058 12.1058
angles (deg): 90.00 90.00 90.00
Closest atoms and distances in Å follow each position.
Space group Fm-3m (No. 225)
Symmetry-distinct sites (fractional):
1 Ca 0.0000 0.0000 0.0000 [4 per cell]  6 S 2.88
2 Ac 0.0000 0.2500 0.2500 [24 per cell]  6 S 3.03
3 S 0.0000 0.0000 0.2381 [24 per cell]  1 Ca 2.88, 4 Ac 3.03
4 S 0.2500 0.2500 0.2500 [8 per cell]  6 Ac 3.03

The total magnetization is 0.00 μB/f.u. As for the raw formation energy: -2.0648 eV per atom. For the calculated volume, the calculation gives 1774 Å³/cell.


3.
Mn2Be4I after structural relaxation. Source: the Alexandria database, functional PBE-GGA.

a b c (Å): 4.6265 4.6265 12.1562
angles (deg): 90.00 90.00 90.00
Closest atoms and distances in Å follow each position.
Space group I4/mmm (No. 139)
Symmetry-distinct sites (fractional):
1 Mn 0.0000 0.0000 0.1007 [4 per cell]  1 Be 2.30, 1 Mn 2.45
2 Be 0.0000 0.0000 0.2896 [4 per cell]  1 Mn 2.30, 1 I 2.56
3 Be 0.0000 0.5000 0.0000 [4 per cell]  2 I 2.31
4 I 0.0000 0.0000 0.5000 [2 per cell]  6 Be 2.31-2.56

The total magnetization is 6.32 μB/f.u. As for the raw formation energy: 1.5341 eV per atom. For the calculated volume, the calculation gives 260 Å³/cell.